Sr2Zn3Ag | GGA-PBE | relaxed

Cell and atoms, written as POSCAR:
```
Sr2Zn3Ag
1.0
-2.599 3.735 3.938
-3.903 -0.808 4.509
7.322 -2.167 -0.527
Ag Sr Zn
1 2 3
Direct
0.337 0.337 0.278 Ag
0.049 0.049 0.299 Sr
0.951 0.951 0.698 Sr
0.659 0.659 0.096 Zn
0.672 0.672 0.738 Zn
0.333 0.333 0.891 Zn
```

Calculated density: 5.46 g/cm3
Total energy: -1.926 eV/atom
Space group: Cm (8)